Material: CoRe2Tc
Method: DFT, meta-GGA SCAN
State: single point on PBEsol structure

## Properties
offset from the most stable computed form = 0.0 meV/atom
energy of formation from the pure elements = 0.07 eV per atom
theoretical density = 16.54 g/cm3
total magnetization = 0.5 μB per cell

```
CoRe2Tc
1.0
3.766 0.000 0.000
0.000 3.766 0.000
0.000 0.000 3.747
Co Re Tc
1 2 1
direct
0.000 0.000 0.000 Co
0.000 0.500 0.500 Re
0.500 0.000 0.500 Re
0.500 0.500 0.000 Tc
```


Material: Sr2RePb
Method: DFT, meta-GGA SCAN
State: single point on PBEsol structure

## Properties
energy of formation from the pure elements = 0.61 eV per atom
theoretical density = 9.12 g/cm3
total magnetization = 0.0 μB per cell

```
Sr2RePb
1.0
3.099 0.000 0.000
0.000 4.696 0.000
0.000 0.000 7.113
Sr Re Pb
2 1 1
direct
0.000 0.000 0.235 Sr
0.000 0.000 0.765 Sr
0.500 0.500 0.000 Re
0.500 0.500 0.500 Pb
```


- The lowest theoretical density belongs to which entry?
  Sr2RePb


Repeat the second record exactly.
Material: Sr2RePb
Method: DFT, meta-GGA SCAN
State: single point on PBEsol structure

## Properties
energy of formation from the pure elements = 0.61 eV per atom
theoretical density = 9.12 g/cm3
total magnetization = 0.0 μB per cell

```
Sr2RePb
1.0
3.099 0.000 0.000
0.000 4.696 0.000
0.000 0.000 7.113
Sr Re Pb
2 1 1
direct
0.000 0.000 0.235 Sr
0.000 0.000 0.765 Sr
0.500 0.500 0.000 Re
0.500 0.500 0.500 Pb
```